This record from Alexandria describes an optimized crystal structure of CrRu2PtN. The functional is PBE.

Energy relative to the elements, uncorrected in eV/atom: 0.01

abc: 4.020 4.020 3.927
angles: 90.00 90.00 90.00
Sites, in units of the cell vectors:
Cr  0.000  0.000  0.000
Ru  0.000  0.500  0.500
Ru  0.500  0.000  0.500
Pt  0.500  0.500  0.000
N  0.000  0.000  0.500


This record from Alexandria describes an optimized crystal structure of LaSc2W. The functional is PBE.

Formation energy from the elements in meV/atom: 454.4

abc: 6.273 8.887 3.234
angles: 90.00 90.00 90.00
Sites, in units of the cell vectors:
La  0.000  0.000  0.000
La  0.500  0.500  0.000
Sc  0.250  0.250  0.500
Sc  0.250  0.750  0.500
Sc  0.750  0.250  0.500
Sc  0.750  0.750  0.500
W  0.000  0.500  0.000
W  0.500  0.000  0.000


This record from Alexandria describes an optimized crystal structure of Li2ScZnH. The functional is PBE.

abc: 3.947 3.947 4.598
angles: 90.00 90.00 90.00
Sites, in units of the cell vectors:
Li  0.000  0.500  0.000
Li  0.500  0.000  0.000
Sc  0.000  0.000  0.500
Zn  0.500  0.500  0.500
H  0.000  0.000  0.000


This record from Alexandria describes an optimized crystal structure of DyEr2Pt9. The functional is PBE.

Formation energy from the elements in meV/atom: -1061.3

abc: 4.106 4.106 12.319
angles: 90.00 90.00 90.00
Sites, in units of the cell vectors:
Dy  0.000  0.000  0.000
Er  0.000  0.000  0.334
Er  0.000  0.000  0.666
Pt  0.000  0.500  0.168
Pt  0.000  0.500  0.500
Pt  0.000  0.500  0.832
Pt  0.500  0.000  0.168
Pt  0.500  0.000  0.500
Pt  0.500  0.000  0.832
Pt  0.500  0.500  0.000
Pt  0.500  0.500  0.334
Pt  0.500  0.500  0.666


This record from Alexandria describes an optimized crystal structure of YSbTe2Pd. The functional is PBE.

Energy relative to the elements, uncorrected in eV/atom: -0.21
Polymorph energy (0 for the lowest one) in kJ/mol of formula units: 0

abc: 5.367 5.367 5.107
angles: 90.00 90.00 90.00
Sites, in units of the cell vectors:
Y  0.000  0.000  0.000
Sb  0.500  0.500  0.000
Te  0.000  0.500  0.500
Te  0.500  0.000  0.500
Pd  0.500  0.500  0.500


This record from Alexandria describes an optimized crystal structure of CsBaCa2Cu. The functional is PBE.

Formation energy from the elements in meV/atom: 105.1

abc: 6.046 6.046 6.405
angles: 90.00 90.00 90.00
Sites, in units of the cell vectors:
Cs  0.000  0.000  0.000
Ba  0.500  0.500  0.000
Ca  0.000  0.500  0.500
Ca  0.500  0.000  0.500
Cu  0.500  0.500  0.500


This record from Alexandria describes an optimized crystal structure of Ba2Cd2Hg. The functional is PBE.

Polymorph energy (0 for the lowest one) in kJ/mol of formula units: 43
Formation energy from the elements in meV/atom: -273.7

abc: 4.309 4.309 20.077
angles: 90.00 90.00 90.00
Sites, in units of the cell vectors:
Ba  0.000  0.000  0.101
Ba  0.000  0.000  0.899
Ba  0.500  0.500  0.399
Ba  0.500  0.500  0.601
Cd  0.000  0.500  0.250
Cd  0.000  0.500  0.750
Cd  0.500  0.000  0.250
Cd  0.500  0.000  0.750
Hg  0.000  0.000  0.500
Hg  0.500  0.500  0.000


This record from Alexandria describes an optimized crystal structure of CdSbH2. The functional is PBE.

Polymorph energy (0 for the lowest one) in kJ/mol of formula units: 164

abc: 5.497 5.497 8.493
angles: 90.00 90.00 90.00
Sites, in units of the cell vectors:
Cd  0.000  0.000  0.000
Cd  0.000  0.500  0.250
Cd  0.500  0.000  0.750
Cd  0.500  0.500  0.500
Sb  0.000  0.000  0.500
Sb  0.000  0.500  0.750
Sb  0.500  0.000  0.250
Sb  0.500  0.500  0.000
H  0.142  0.250  0.125
H  0.250  0.642  0.375
H  0.250  0.858  0.875
H  0.358  0.250  0.625
H  0.642  0.750  0.625
H  0.750  0.142  0.875
H  0.750  0.358  0.375
H  0.858  0.750  0.125


This record from Alexandria describes an optimized crystal structure of SbHS2Br. The functional is PBE.

abc: 7.706 4.352 9.284
angles: 90.00 108.47 90.00
Sites, in units of the cell vectors:
Sb  0.024  0.250  0.172
Sb  0.976  0.750  0.828
H  0.368  0.250  0.571
H  0.632  0.750  0.429
S  0.193  0.750  0.089
S  0.458  0.250  0.466
S  0.542  0.750  0.534
S  0.807  0.250  0.911
Br  0.197  0.250  0.754
Br  0.803  0.750  0.246


This record from Alexandria describes an optimized crystal structure of NiPdPb. The functional is PBE.

Polymorph energy (0 for the lowest one) in kJ/mol of formula units: 0
Formation energy from the elements in meV/atom: 62.3

abc: 3.505 3.505 8.400
angles: 90.00 90.00 90.00
Sites, in units of the cell vectors:
Ni  0.000  0.000  0.000
Ni  0.500  0.500  0.500
Pd  0.000  0.000  0.657
Pd  0.500  0.500  0.157
Pb  0.000  0.000  0.331
Pb  0.500  0.500  0.831


This record from Alexandria describes an optimized crystal structure of AgP2BrCl. The functional is PBE.

Energy relative to the elements, uncorrected in eV/atom: 1.17
Polymorph energy (0 for the lowest one) in kJ/mol of formula units: 150

abc: 4.685 4.685 6.803
angles: 90.00 90.00 90.00
Sites, in units of the cell vectors:
Ag  0.000  0.000  0.000
P  0.000  0.500  0.500
P  0.500  0.000  0.500
Br  0.500  0.500  0.500
Cl  0.500  0.500  0.000


no.,total moment (μB/atom),energy (eV/atom)
1,0.35,-8.50
2,0.00,-7.18
3,0.00,-3.17
4,0.00,-6.74
5,0.00,-4.62
6,0.00,-2.07
7,0.00,-1.47
8,0.00,-2.43
9,0.00,-3.70
10,0.00,-4.83
11,0.00,-2.26